DFT (meta-GGA SCAN) results for NaTl2Pb2 at its PBEsol-relaxed geometry.

* Fermi-level density of states: 2.22 states/eV per cell
* energy of formation: -0.021 eV/atom
* SG: No. 139
* polymorph energy (0 for the lowest one): 17 meV per atom

Geometry as extended XYZ:
```
5
Lattice="4.626 0.000 0.000 0.000 4.626 0.000 -2.313 -2.313 7.502" Properties=species:S:1:pos:R:3 pbc="T T T"
Pb 0.000 0.000 5.954
Pb 2.313 2.313 1.547
Na 0.000 0.000 0.000
Tl 0.000 2.313 3.751
Tl 2.313 0.000 3.751
```

DFT (meta-GGA SCAN) results for MnOs3Cl at its PBEsol-relaxed geometry.

* Fermi-level density of states: 3.17 states/eV per cell
* uncorrected formation energy: 9.1 eV per formula unit
* SG: No. 221

Geometry as extended XYZ:
```
5
Lattice="-3.889 -0.712 1.683 1.689 0.112 3.950 -0.698 4.236 0.178" Properties=species:S:1:pos:R:3 pbc="T T T"
Mn -1.449 1.818 2.905
Os 0.844 0.056 1.975
Os -0.349 2.118 0.089
Os -1.945 -0.356 0.841
Cl 0.000 0.000 0.000
```

DFT (meta-GGA SCAN) results for MnTc2 at its PBEsol-relaxed geometry.

* Fermi-level density of states: 3.37 states/eV per cell
* energy of formation: 0.074 eV/atom
* SG: No. 71
* polymorph energy (0 for the lowest one): 83 meV per atom

Geometry as extended XYZ:
```
3
Lattice="2.645 0.000 0.000 0.000 3.697 0.000 -1.322 -1.848 3.963" Properties=species:S:1:pos:R:3 pbc="T T T"
Mn 0.000 0.000 0.000
Tc 1.322 1.848 1.286
Tc 0.000 0.000 2.677
```

DFT (meta-GGA SCAN) results for CaCrCl2 at its PBEsol-relaxed geometry.

* Fermi-level density of states: 4.14 states/eV per cell
* uncorrected formation energy: -4.1 eV per formula unit
* SG: No. 122
* polymorph energy (0 for the lowest one): 127 meV per atom

Geometry as extended XYZ:
```
8
Lattice="-3.205 -4.215 -2.035 4.241 -1.571 -3.424 1.716 -1.004 7.284" Properties=species:S:1:pos:R:3 pbc="T T T"
Cr 3.237 -2.734 0.565
Cr 0.000 0.000 0.000
Ca -0.485 -4.056 1.260
Ca 0.518 -2.893 -2.729
Cl 3.057 -3.050 -1.862
Cl -0.904 -4.685 -1.319
Cl 1.258 -1.418 4.909
Cl 2.092 -4.428 1.924
```

DFT (meta-GGA SCAN) results for Ta4Mo at its PBEsol-relaxed geometry.

* Fermi-level density of states: 5.38 states/eV per cell
* energy of formation: -0.063 eV/atom
* SG: No. 12
* polymorph energy (0 for the lowest one): 36 meV per atom

Geometry as extended XYZ:
```
5
Lattice="2.832 0.000 0.004 0.000 4.567 0.000 -0.930 -2.283 6.603" Properties=species:S:1:pos:R:3 pbc="T T T"
Mo 0.000 0.000 0.000
Ta 1.021 0.000 5.312
Ta -0.011 2.283 3.982
Ta 1.913 0.000 2.625
Ta 0.880 2.283 1.295
```

DFT (meta-GGA SCAN) results for KSb2TeN at its PBEsol-relaxed geometry.

* Fermi-level density of states: 4.25 states/eV per cell
* uncorrected formation energy: 2.4 eV per formula unit
* SG: No. 123

Geometry as extended XYZ:
```
5
Lattice="-0.797 3.266 3.441 -3.570 1.884 -2.616 -3.300 -3.156 2.231" Properties=species:S:1:pos:R:3 pbc="T T T"
Sb -1.785 0.942 -1.308
Sb -0.399 1.633 1.720
K -3.834 0.997 1.528
Te -1.650 -1.578 1.115
N 0.000 0.000 0.000
```

DFT (meta-GGA SCAN) results for CoAu5 at its PBEsol-relaxed geometry.

* Fermi-level density of states: 2.15 states/eV per cell
* energy of formation: 0.037 eV/atom
* SG: No. 123

Geometry as extended XYZ:
```
6
Lattice="2.833 0.000 0.000 0.000 2.833 0.000 0.000 0.000 11.886" Properties=species:S:1:pos:R:3 pbc="T T T"
Au 0.000 0.000 10.153
Au 0.000 0.000 1.733
Au 1.417 1.417 8.040
Au 1.417 1.417 3.846
Au 0.000 0.000 5.943
Co 1.417 1.417 0.000
```

DFT (meta-GGA SCAN) results for Hf2CuSi4 at its PBEsol-relaxed geometry.

* Fermi-level density of states: 3.70 states/eV per cell
* uncorrected formation energy: -3.5 eV per formula unit
* SG: No. 63

Geometry as extended XYZ:
```
14
Lattice="3.645 0.000 0.000 0.000 3.651 0.000 0.000 1.826 16.032" Properties=species:S:1:pos:R:3 pbc="T T T"
Hf 2.733 3.651 1.486
Hf 0.911 1.826 14.546
Hf 2.733 3.651 10.373
Hf 0.911 1.826 5.660
Cu 2.733 1.826 8.015
Cu 0.911 3.651 8.017
Si 2.733 3.651 15.234
Si 0.911 1.826 0.798
Si 2.733 1.826 3.595
Si 0.911 3.651 12.437
Si 2.733 1.826 12.432
Si 0.911 3.651 3.601
Si 2.733 3.651 6.480
Si 0.911 1.826 9.552
```